A PBEsol-optimized structure of LiAg4. Source: Alexandria via LeMat-Bulk, functional meta-GGA SCAN.

extended XYZ file:
```
5
Lattice="-2.639 0.761 2.916 1.651 -1.029 4.514 0.288 4.557 1.822" Properties=species:S:1:pos:R:3 pbc="T T T"
Li 0.000 0.000 0.000
Ag -1.083 2.994 3.741
Ag -0.883 3.641 6.504
Ag 0.183 0.647 2.748
Ag 0.383 1.295 5.511
```

Properties
For the formation energy, the calculation gives -0.105 eV per atom. For the calculated density, the calculation gives 9.0 g/cm3.